[1]
DFT (PBE) results for a relaxed structure of Cd3PdAu12.

a = 4.2055 Å, b = 4.2055 Å, c = 16.5311 Å
α = 90.00°, β = 90.00°, γ = 90.00°
With the nearest neighbours (Å) after each atom.
Fractional coordinates of all 16 atoms:
Au (0.0000, 0.5000, 0.1197)  2 Pd 2.89, 8 Au 2.89-2.97, 2 Cd 2.94
Au (0.5000, 0.5000, 0.5000)  4 Cd 2.97, 8 Au 2.98
Au (0.0000, 0.5000, 0.8803)  2 Pd 2.89, 8 Au 2.89-2.97, 2 Cd 2.94
Au (0.5000, 0.0000, 0.3727)  8 Au 2.97-2.98, 4 Cd 2.98-2.99
Au (0.5000, 0.0000, 0.1197)  2 Pd 2.89, 8 Au 2.89-2.97, 2 Cd 2.94
Au (0.5000, 0.5000, 0.0000)  8 Au 2.89, 4 Pd 2.97
Au (0.0000, 0.5000, 0.3727)  8 Au 2.97-2.98, 4 Cd 2.98-2.99
Au (0.5000, 0.0000, 0.8803)  2 Pd 2.89, 8 Au 2.89-2.97, 2 Cd 2.94
Au (0.5000, 0.0000, 0.6273)  8 Au 2.97-2.98, 4 Cd 2.98-2.99
Au (0.5000, 0.5000, 0.2460)  8 Au 2.96-2.97, 4 Cd 2.97
Au (0.0000, 0.5000, 0.6273)  8 Au 2.97-2.98, 4 Cd 2.98-2.99
Au (0.5000, 0.5000, 0.7540)  8 Au 2.96-2.97, 4 Cd 2.97
Cd (0.0000, 0.0000, 0.5000)  12 Au 2.97-2.98
Cd (0.0000, 0.0000, 0.2443)  12 Au 2.94-2.99
Cd (0.0000, 0.0000, 0.7557)  12 Au 2.94-2.99
Pd (0.0000, 0.0000, 0.0000)  12 Au 2.89-2.97

## Properties
SG: P4/mmm, No. 123
Formation enthalpy at 0 K, kJ/mol of formula units: -176
Energy, eV per atom: -3.068
Total moment, Bohr magnetons per cell: 0.0
Fermi-level density of states, states/eV/atom: 0.235



[2]
DFT (PBE) results for a relaxed structure of CdPdAu3.

a = 5.0736 Å, b = 5.0727 Å, c = 7.7893 Å
α = 96.84°, β = 108.77°, γ = 69.99°
With the nearest neighbours (Å) after each atom.
Fractional coordinates of all 10 atoms:
Au (0.9611, 0.3446, 0.2037)  7 Au 2.91-2.97, 2 Pd 2.91-2.92, 3 Cd 2.93-3.01
Au (0.5619, 0.3440, 0.4050)  7 Au 2.90-2.95, 3 Pd 2.93-2.95, 2 Cd 2.96-2.97
Au (0.4638, 0.8448, 0.2095)  7 Au 2.90-2.95, 3 Pd 2.93-2.95, 2 Cd 2.96-2.97
Au (0.2638, 0.8444, 0.8095)  4 Cd 2.90-2.93, 4 Au 2.91-2.95, 4 Pd 2.92-2.95
Au (0.0647, 0.8442, 0.4109)  7 Au 2.91-2.97, 2 Pd 2.91-2.92, 3 Cd 2.93-3.01
Au (0.7618, 0.3444, 0.8051)  4 Cd 2.90-2.93, 4 Au 2.91-2.95, 4 Pd 2.92-2.95
Cd (0.8598, 0.8446, 0.0021)  9 Au 2.90-3.01, 3 Pd 2.91-2.92
Cd (0.1658, 0.3442, 0.6124)  9 Au 2.90-3.01, 3 Pd 2.91-2.92
Pd (0.3631, 0.3448, 0.0079)  3 Cd 2.91-2.92, 9 Au 2.91-2.95
Pd (0.6626, 0.8440, 0.6066)  3 Cd 2.91-2.92, 9 Au 2.91-2.95

## Properties
SG: P-1, No. 2
Formation enthalpy at 0 K, kJ/mol of formula units: -85
Energy, eV per atom: -3.364
Total moment, Bohr magnetons per cell: 0.0
Fermi-level density of states, states/eV/atom: 0.264



[3]
DFT (PBE) results for a relaxed structure of Cd2Pd4Au5.

a = 2.8492 Å, b = 7.0304 Å, c = 9.9993 Å
α = 83.80°, β = 98.19°, γ = 90.00°
With the nearest neighbours (Å) after each atom.
Fractional coordinates of all 11 atoms:
Au (0.2322, 0.1889, 0.4644)  1 Cd 2.80, 7 Au 2.85-3.03, 3 Pd 2.86-2.87
Au (0.1416, 0.8886, 0.2831)  3 Pd 2.68-2.95, 1 Cd 2.79, 5 Au 2.85-2.92
Au (0.5000, 0.0000, 0.0000)  6 Au 2.85-3.16, 4 Pd 2.91, 4 Cd 3.13
Au (0.7678, 0.8111, 0.5356)  1 Cd 2.80, 7 Au 2.85-3.03, 3 Pd 2.86-2.87
Au (0.8584, 0.1114, 0.7169)  3 Pd 2.68-2.95, 1 Cd 2.79, 5 Au 2.85-2.92
Pd (0.0457, 0.6479, 0.0915)  3 Au 2.68-2.91, 2 Cd 2.68-2.70, 3 Pd 2.85-2.90
Pd (0.6764, 0.5236, 0.3528)  4 Pd 2.85-3.00, 5 Au 2.86-2.95, 2 Cd 2.93
Pd (0.3236, 0.4764, 0.6472)  4 Pd 2.85-3.00, 5 Au 2.86-2.95, 2 Cd 2.93
Pd (0.9543, 0.3521, 0.9085)  3 Au 2.68-2.91, 2 Cd 2.68-2.70, 3 Pd 2.85-2.90
Cd (0.0910, 0.2749, 0.1819)  4 Pd 2.68-2.93, 2 Au 2.79-2.80, 2 Cd 2.85
Cd (0.9090, 0.7251, 0.8181)  4 Pd 2.68-2.93, 2 Au 2.79-2.80, 2 Cd 2.85

## Properties
SG: C2/m, No. 12
Formation enthalpy at 0 K, kJ/mol of formula units: -73
Energy, eV per atom: -3.613
Total moment, Bohr magnetons per cell: 0.0
Fermi-level density of states, states/eV/atom: 0.393